CrWAu2Se | PBE | optimized geometry

E_form (uncorrected)   1.6100 eV per atom
Density   11.4 g/cm³
E_tot   -4.9132 eV per atom

The structure in CIF format:
```
data_CrWAu2Se
_chemical_formula_sum 'Cr1 W1 Au2 Se1'
_cell_length_a 4.869
_cell_length_b 4.362
_cell_length_c 4.869
_cell_angle_alpha 90.00
_cell_angle_beta 90.00
_cell_angle_gamma 90.00
_symmetry_space_group_name_H-M 'P 1'
_symmetry_Int_Tables_number 1
_symmetry_space_group_name_Hall 'P 1'
loop_
_atom_site_label
_atom_site_type_symbol
_atom_site_fract_x
_atom_site_fract_y
_atom_site_fract_z
Se1 Se 0.000 0.000 0.000
Au1 Au 0.500 0.000 0.000
Cr1 Cr 0.000 0.500 0.000
Au2 Au 0.000 0.000 0.500
W1 W 0.500 0.500 0.500
```